# LiVHgO4, optimized geometry, DFT PBE+U
# - SG: No. 63
# - Raw total energy: -0.2095 Ha/atom
data_LiVHgO4
_chemical_formula_sum 'Li2 V2 Hg2 O8'
_space_group_name_H-M_alt 'P 1'
_space_group_IT_number 1
_cell_length_a 5.484
_cell_length_b 5.484
_cell_length_c 6.663
_cell_angle_alpha 90.00
_cell_angle_beta 90.00
_cell_angle_gamma 105.90
loop_
_space_group_symop_operation_xyz
'x,y,z'
loop_
_atom_site_label
_atom_site_fract_x
_atom_site_fract_y
_atom_site_fract_z
_atom_site_occupancy
O1 0.820 0.775 0.250 1
Li1 0.158 0.842 0.750 1
V1 0.852 0.148 0.750 1
Hg1 0.500 0.500 0.000 1
O2 0.255 0.745 0.024 1
O3 0.745 0.255 0.524 1
O4 0.775 0.820 0.750 1
Li2 0.842 0.158 0.250 1
O5 0.225 0.180 0.250 1
V2 0.148 0.852 0.250 1
O6 0.180 0.225 0.750 1
O7 0.745 0.255 0.976 1
Hg2 0.500 0.500 0.500 1
O8 0.255 0.745 0.476 1